No. 1
Entry from Alexandria via LeMat-Bulk: SiAg3O after structural relaxation (GGA-PBEsol).

## Properties
The formation energy without anion corrections comes out at 0.9414 eV/atom. Its density of states at the Fermi level is 3.46 states/eV/f.u. Its space-group type is Pm-3m, No. 221.

```
SiAg3O
1.0
4.681 0.000 0.000
0.000 4.681 0.000
0.000 0.000 4.681
Si Ag O
1 3 1
direct
0.000 0.000 0.000
0.000 0.000 0.500
0.000 0.500 0.000
0.500 0.000 0.000
0.500 0.500 0.500
```

No. 2
Entry from Alexandria via LeMat-Bulk: BaLi2Mg after structural relaxation (GGA-PBEsol).

## Properties
Its density of states at the Fermi level is 3.25 states/eV/f.u. Its space-group type is P2/m, No. 10. For the formation energy, the calculation gives 0.09 eV/atom.

```
BaLi2Mg
1.0
3.540 0.000 0.000
0.000 5.141 0.000
-0.859 0.000 6.636
Ba Li Mg
1 2 1
direct
0.000 0.000 0.000
0.268 0.500 0.679
0.732 0.500 0.321
0.500 0.000 0.500
```

Copy entry 1 word for word.
Entry from Alexandria via LeMat-Bulk: SiAg3O after structural relaxation (GGA-PBEsol).

## Properties
The formation energy without anion corrections comes out at 0.9414 eV/atom. Its density of states at the Fermi level is 3.46 states/eV/f.u. Its space-group type is Pm-3m, No. 221.

```
SiAg3O
1.0
4.681 0.000 0.000
0.000 4.681 0.000
0.000 0.000 4.681
Si Ag O
1 3 1
direct
0.000 0.000 0.000
0.000 0.000 0.500
0.000 0.500 0.000
0.500 0.000 0.000
0.500 0.500 0.500
```